# 1
The following is a GGA-PBE calculation of a geometry-optimized Cs3Ac3PaS8 structure, from the Alexandria database.

Geometry as POSCAR:
```
Cs3Ac3PaS8
1.0
-3.538 -4.374 6.754
6.644 -3.543 -4.534
2.121 7.362 5.879
S Cs Ac Pa
8 3 3 1
direct
0.786 0.572 0.321 S
0.786 0.035 0.321 S
0.751 0.965 0.679 S
0.214 0.428 0.679 S
0.214 0.965 0.679 S
0.249 0.035 0.321 S
0.269 0.539 0.308 S
0.731 0.461 0.692 S
0.500 0.500 0.000 Cs
0.000 0.000 0.000 Cs
0.000 0.500 0.000 Cs
0.500 0.500 0.500 Ac
0.500 0.000 0.500 Ac
0.000 0.500 0.500 Ac
0.000 0.000 0.500 Pa
```

Its total energy is -5.658 eV per atom. For the calculated density, the calculation gives 4.74 Mg/m³. As for the uncorrected formation energy: -1.83 eV/atom.

# 2
The following is a GGA-PBE calculation of a geometry-optimized Cs4AcPa3S12 structure, from the Alexandria database.

Geometry as POSCAR:
```
Cs4AcPa3S12
1.0
-6.578 3.632 5.678
-3.684 -7.148 -4.902
7.225 -3.130 5.166
S Ac Cs Pa
12 1 4 3
direct
0.000 0.734 0.734 S
0.750 0.500 0.250 S
0.266 0.000 0.266 S
0.500 0.250 0.750 S
0.734 0.000 0.734 S
0.500 0.750 0.250 S
0.250 0.750 0.500 S
0.734 0.734 0.000 S
0.250 0.500 0.750 S
0.000 0.266 0.266 S
0.750 0.250 0.500 S
0.266 0.266 0.000 S
0.000 0.000 0.000 Ac
0.500 0.500 0.500 Cs
0.500 0.000 0.000 Cs
0.000 0.000 0.500 Cs
0.000 0.500 0.000 Cs
0.000 0.500 0.500 Pa
0.500 0.000 0.500 Pa
0.500 0.500 0.000 Pa
```

Its total energy is -5.767 eV per atom. For the calculated density, the calculation gives 4.74 Mg/m³. As for the uncorrected formation energy: -1.49 eV/atom.

# 3
The following is a GGA-PBE calculation of a geometry-optimized Cs4AcPa3Se12 structure, from the Alexandria database.

Geometry as POSCAR:
```
Cs4AcPa3Se12
1.0
-0.711 -9.715 -1.293
8.646 2.126 4.158
-7.285 3.069 5.837
Se Cs Ac Pa
12 4 1 3
direct
0.000 0.265 0.265 Se
0.750 0.250 0.500 Se
0.500 0.250 0.750 Se
0.735 0.000 0.735 Se
0.250 0.500 0.750 Se
0.250 0.750 0.500 Se
0.750 0.500 0.250 Se
0.265 0.000 0.265 Se
0.735 0.735 0.000 Se
0.500 0.750 0.250 Se
0.000 0.735 0.735 Se
0.265 0.265 0.000 Se
0.500 0.000 0.000 Cs
0.500 0.500 0.500 Cs
0.000 0.000 0.500 Cs
0.000 0.500 0.000 Cs
0.000 0.000 0.000 Ac
0.500 0.500 0.000 Pa
0.000 0.500 0.500 Pa
0.500 0.000 0.500 Pa
```

Its total energy is -5.263 eV per atom. For the calculated density, the calculation gives 5.45 Mg/m³. As for the uncorrected formation energy: -1.37 eV/atom.

# 4
The following is a GGA-PBE calculation of a geometry-optimized CsAc2PaSe5 structure, from the Alexandria database.

Geometry as POSCAR:
```
CsAc2PaSe5
1.0
5.401 0.000 0.000
0.000 7.890 0.000
-2.701 -3.945 7.528
Se Pa Ac Cs
5 1 2 1
direct
0.647 0.381 0.294 Se
0.353 0.087 0.706 Se
0.647 0.913 0.294 Se
0.353 0.619 0.706 Se
0.000 0.000 0.000 Se
0.500 0.000 0.000 Pa
0.204 0.204 0.408 Ac
0.796 0.796 0.592 Ac
0.000 0.500 0.000 Cs
```

Its total energy is -5.653 eV per atom. For the calculated density, the calculation gives 6.28 Mg/m³. As for the uncorrected formation energy: -1.65 eV/atom.

# 5
The following is a GGA-PBE calculation of a geometry-optimized Cs4Ac3PaSe8 structure, from the Alexandria database.

Geometry as POSCAR:
```
Cs4Ac3PaSe8
1.0
9.112 0.000 0.000
0.000 9.925 0.566
-4.556 -4.553 6.445
Cs Se Ac Pa
4 8 3 1
direct
0.500 0.000 0.000 Cs
0.000 0.000 0.500 Cs
0.000 0.000 0.000 Cs
0.500 0.000 0.500 Cs
0.749 0.692 0.971 Se
0.251 0.308 0.029 Se
0.266 0.300 0.533 Se
0.222 0.692 0.971 Se
0.222 0.692 0.444 Se
0.734 0.700 0.467 Se
0.778 0.308 0.556 Se
0.778 0.308 0.029 Se
0.000 0.500 0.500 Ac
0.500 0.500 0.000 Ac
0.500 0.500 0.500 Ac
0.000 0.500 0.000 Pa
```

Its total energy is -4.970 eV per atom. For the calculated density, the calculation gives 5.68 Mg/m³. As for the uncorrected formation energy: -1.65 eV/atom.

# 6
The following is a GGA-PBE calculation of a geometry-optimized Cs3Ac2PaSe6 structure, from the Alexandria database.

Geometry as POSCAR:
```
Cs3Ac2PaSe6
1.0
7.830 0.000 -0.001
-3.913 6.783 -0.001
-1.307 -2.263 8.426
Pa Cs Se Ac
1 3 6 2
direct
0.000 0.000 0.000 Pa
0.830 0.170 0.500 Cs
0.170 0.830 0.500 Cs
0.500 0.500 0.500 Cs
0.378 0.064 0.193 Se
0.248 0.248 0.806 Se
0.064 0.378 0.193 Se
0.752 0.752 0.194 Se
0.622 0.936 0.807 Se
0.936 0.622 0.807 Se
0.334 0.666 0.000 Ac
0.666 0.334 0.000 Ac
```

Its total energy is -5.035 eV per atom. For the calculated density, the calculation gives 5.78 Mg/m³. As for the uncorrected formation energy: -1.60 eV/atom.

# 7
The following is a GGA-PBE calculation of a geometry-optimized CsAc2PaTe5 structure, from the Alexandria database.

Geometry as POSCAR:
```
CsAc2PaTe5
1.0
5.770 0.000 0.000
0.000 8.381 0.000
-2.885 -4.190 8.064
Te Ac Cs Pa
5 2 1 1
direct
0.353 0.090 0.705 Te
0.000 0.000 0.000 Te
0.647 0.910 0.295 Te
0.647 0.385 0.295 Te
0.353 0.615 0.705 Te
0.798 0.798 0.596 Ac
0.202 0.202 0.404 Ac
0.000 0.500 0.000 Cs
0.500 0.000 0.000 Pa
```

Its total energy is -5.034 eV per atom. For the calculated density, the calculation gives 6.20 Mg/m³. As for the uncorrected formation energy: -1.23 eV/atom.

# 8
The following is a GGA-PBE calculation of a geometry-optimized Cs4Ac3PaTe8 structure, from the Alexandria database.

Geometry as POSCAR:
```
Cs4Ac3PaTe8
1.0
9.653 0.000 0.000
0.000 10.555 0.629
-4.827 -4.825 6.827
Te Pa Cs Ac
8 1 4 3
direct
0.225 0.698 0.450 Te
0.748 0.698 0.973 Te
0.775 0.302 0.550 Te
0.265 0.294 0.529 Te
0.735 0.706 0.471 Te
0.775 0.302 0.027 Te
0.252 0.302 0.027 Te
0.225 0.698 0.973 Te
0.000 0.500 0.000 Pa
0.000 0.000 0.000 Cs
0.500 0.000 0.500 Cs
0.500 0.000 0.000 Cs
0.000 0.000 0.500 Cs
0.500 0.500 0.000 Ac
0.000 0.500 0.500 Ac
0.500 0.500 0.500 Ac
```

Its total energy is -4.482 eV per atom. For the calculated density, the calculation gives 5.64 Mg/m³. As for the uncorrected formation energy: -1.33 eV/atom.

# 9
The following is a GGA-PBE calculation of a geometry-optimized CsAcPb structure, from the Alexandria database.

Geometry as POSCAR:
```
CsAcPb
1.0
6.856 0.000 0.000
0.000 5.441 0.000
0.000 -2.721 4.712
Cs Ac Pb
1 1 1
direct
0.710 0.667 0.333 Cs
0.218 0.333 0.667 Ac
0.072 0.000 0.000 Pb
```

Its formation energy is 10 kJ/mol of formula units. Its total energy is -2.856 eV per atom. For the calculated density, the calculation gives 5.36 Mg/m³.

# 10
The following is a GGA-PBE calculation of a geometry-optimized CsAc4Pb4 structure, from the Alexandria database.

Geometry as POSCAR:
```
CsAc4Pb4
1.0
6.723 0.000 0.000
0.000 11.358 0.000
0.000 0.000 11.358
Pb Ac Cs
8 8 2
direct
0.406 0.325 0.178 Pb
0.594 0.178 0.675 Pb
0.906 0.678 0.175 Pb
0.094 0.825 0.678 Pb
0.594 0.822 0.325 Pb
0.094 0.175 0.322 Pb
0.906 0.322 0.825 Pb
0.406 0.675 0.822 Pb
0.397 0.367 0.876 Ac
0.897 0.376 0.133 Ac
0.897 0.624 0.867 Ac
0.397 0.633 0.124 Ac
0.603 0.876 0.633 Ac
0.103 0.133 0.624 Ac
0.103 0.867 0.376 Ac
0.603 0.124 0.367 Ac
0.500 0.500 0.500 Cs
0.000 0.000 0.000 Cs
```

Its formation energy is -262 kJ/mol of formula units. Its total energy is -3.871 eV per atom. For the calculated density, the calculation gives 7.16 Mg/m³.

# 11
The following is a GGA-PBE calculation of a geometry-optimized CsAcPb4 structure, from the Alexandria database.

Geometry as POSCAR:
```
CsAcPb4
1.0
-5.314 -1.837 3.722
-2.151 -6.389 -0.118
0.867 -3.949 5.396
Pb Cs Ac
4 1 1
direct
0.623 0.131 0.623 Pb
0.623 0.623 0.623 Pb
0.623 0.623 0.131 Pb
0.131 0.623 0.623 Pb
0.000 0.000 0.000 Cs
0.250 0.250 0.250 Ac
```

Its formation energy is -128 kJ/mol of formula units. Its total energy is -3.521 eV per atom. For the calculated density, the calculation gives 9.11 Mg/m³.

# 12
The following is a GGA-PBE calculation of a geometry-optimized Cs2AcPbS4 structure, from the Alexandria database.

Geometry as POSCAR:
```
Cs2AcPbS4
1.0
9.109 -0.010 -0.038
-0.016 9.109 -0.038
-4.490 -4.493 6.470
S Cs Ac Pb
8 4 2 2
direct
0.235 0.265 0.457 S
0.235 0.265 0.043 S
0.766 0.305 0.535 S
0.195 0.734 0.965 S
0.765 0.735 0.957 S
0.234 0.695 0.465 S
0.765 0.735 0.543 S
0.805 0.266 0.035 S
0.500 0.000 0.000 Cs
0.000 0.000 0.500 Cs
0.500 0.500 0.000 Cs
0.500 0.000 0.500 Cs
0.000 0.500 0.500 Ac
0.000 0.500 0.000 Ac
0.000 0.000 0.000 Pb
0.500 0.500 0.500 Pb
```

Its total energy is -4.435 eV per atom. For the calculated density, the calculation gives 5.15 Mg/m³. As for the uncorrected formation energy: -1.18 eV/atom.